No. 1
Density functional theory data (PBE) for a relaxed structure of LiPrRh.

a b c (Å): 3.702 4.401 4.401
angles (deg): 120.00 90.00 90.00
Fractional positions:
Li (0.166, 0.333, 0.667)
Rh (0.167, 0.000, 0.000)
Pr (0.667, 0.667, 0.333)

Results
relative energy among the computed polymorphs	9.9	kJ per mole of atoms
energy of formation from the pure elements	-326	meV per atom
total magnetic moment	0.0	μB/cell

***

No. 2
Density functional theory data (PBE) for a relaxed structure of Li2Pr3Rh7.

a b c (Å): 5.409 5.409 9.046
angles (deg): 72.60 72.60 60.00
Fractional positions:
Rh (0.922, 0.416, 0.246)
Pr (0.860, 0.860, 0.421)
Pr (0.000, 0.000, 0.000)
Rh (0.416, 0.416, 0.246)
Rh (0.078, 0.584, 0.754)
Rh (0.584, 0.584, 0.754)
Li (0.664, 0.664, 0.007)
Rh (0.416, 0.922, 0.246)
Li (0.336, 0.336, 0.993)
Pr (0.140, 0.140, 0.579)
Rh (0.584, 0.078, 0.754)
Rh (0.500, 0.500, 0.500)

Results
energy of formation from the pure elements	-488	meV per atom
total magnetic moment	0.0	μB/cell

***

No. 3
Density functional theory data (PBE) for a relaxed structure of LiPr2Rh.

a b c (Å): 5.143 5.143 5.143
angles (deg): 60.00 60.00 60.00
Fractional positions:
Li (0.250, 0.250, 0.250)
Pr (0.000, 0.000, 0.000)
Pr (0.500, 0.500, 0.500)
Rh (0.750, 0.750, 0.750)

Results
energy of formation from the pure elements	-315	meV per atom
total magnetic moment	0.0	μB/cell

***

No. 4
Density functional theory data (PBE) for a relaxed structure of LiPr3Rh8.

a b c (Å): 5.368 5.368 9.343
angles (deg): 73.30 73.30 60.00
Fractional positions:
Rh (0.436, 0.436, 0.189)
Rh (0.436, 0.939, 0.189)
Li (0.871, 0.871, 0.387)
Rh (0.688, 0.688, 0.936)
Rh (0.939, 0.436, 0.189)
Rh (0.938, 0.938, 0.683)
Rh (0.188, 0.188, 0.436)
Rh (0.440, 0.938, 0.683)
Rh (0.938, 0.440, 0.683)
Pr (0.506, 0.506, 0.482)
Pr (0.377, 0.377, 0.870)
Pr (0.993, 0.993, 0.022)

Results
energy of formation from the pure elements	-512	meV per atom
total magnetic moment	0.0	μB/cell

***

No. 5
Density functional theory data (PBE) for a relaxed structure of LiPr4Rh2.

a b c (Å): 4.750 4.750 10.355
angles (deg): 76.74 76.74 60.00
Fractional positions:
Pr (0.205, 0.205, 0.386)
Rh (0.092, 0.092, 0.723)
Pr (0.795, 0.795, 0.614)
Pr (0.615, 0.615, 0.156)
Li (0.000, 0.000, 0.000)
Rh (0.908, 0.908, 0.277)
Pr (0.385, 0.385, 0.844)

Results
energy of formation from the pure elements	-335	meV per atom
total magnetic moment	0.0	μB/cell

***

No. 6
Density functional theory data (PBE) for a relaxed structure of LiPr4Rh.

a b c (Å): 10.067 10.067 10.067
angles (deg): 60.00 60.00 60.00
Fractional positions:
Pr (0.187, 0.813, 0.813)
Pr (0.813, 0.813, 0.187)
Pr (0.563, 0.937, 0.563)
Pr (0.790, 0.403, 0.403)
Li (0.172, 0.172, 0.485)
Pr (0.563, 0.937, 0.937)
Pr (0.813, 0.187, 0.187)
Pr (0.403, 0.403, 0.790)
Pr (0.937, 0.563, 0.937)
Rh (0.608, 0.608, 0.177)
Li (0.172, 0.485, 0.172)
Pr (0.187, 0.813, 0.187)
Rh (0.177, 0.608, 0.608)
Pr (0.813, 0.187, 0.813)
Rh (0.608, 0.177, 0.608)
Pr (0.403, 0.403, 0.403)
Li (0.485, 0.172, 0.172)
Pr (0.403, 0.790, 0.403)
Pr (0.187, 0.187, 0.813)
Li (0.172, 0.172, 0.172)
Pr (0.937, 0.563, 0.563)
Rh (0.608, 0.608, 0.608)
Pr (0.563, 0.563, 0.937)
Pr (0.937, 0.937, 0.563)

Results
relative energy among the computed polymorphs	0.0	kJ per mole of atoms
energy of formation from the pure elements	-264	meV per atom
total magnetic moment	0.0	μB/cell

***

The highest energy of formation from the pure elements belongs to which entry?
LiPr4Rh